No. 1
A plane-wave DFT calculation with PBE was carried out for Cd3Fe after structural relaxation. Values from VASP.

Calculated values
Magnetization = 4.98 μB/cell

```
&SYSTEM
  ibrav = 0, nat = 8, ntyp = 2
/
ATOMIC_SPECIES
Cd 112.41 Cd.upf
Fe 55.84 Fe.upf
CELL_PARAMETERS angstrom
-2.112 2.112 8.410
2.112 -2.112 8.410
2.112 2.112 -8.410
ATOMIC_POSITIONS angstrom
Cd 2.112 0.000 0.000
Cd 0.000 0.000 2.128
Cd 2.112 0.000 4.205
Cd 0.000 2.112 0.000
Cd 0.000 2.112 4.205
Cd 0.000 0.000 14.692
Fe 0.000 0.000 6.366
Fe 0.000 0.000 10.454
```



No. 2
A plane-wave DFT calculation with PBE was carried out for Cd2Fe after structural relaxation. Values from VASP.

Calculated values
Magnetization = 5.40 μB/cell

```
&SYSTEM
  ibrav = 0, nat = 6, ntyp = 2
/
ATOMIC_SPECIES
Cd 112.41 Cd.upf
Fe 55.84 Fe.upf
CELL_PARAMETERS angstrom
0.000 3.879 3.879
3.879 0.000 3.879
3.879 3.879 0.000
ATOMIC_POSITIONS angstrom
Cd 0.000 0.000 0.000
Cd 1.939 1.939 0.000
Cd 1.939 0.000 1.939
Cd 0.000 1.939 1.939
Fe 2.909 2.909 2.909
Fe 4.849 4.849 4.849
```



No. 3
A plane-wave DFT calculation with PBE was carried out for Cd2Fe after structural relaxation. Values from VASP.

Calculated values
Magnetization = 10.22 μB/cell

```
&SYSTEM
  ibrav = 0, nat = 12, ntyp = 2
/
ATOMIC_SPECIES
Cd 112.41 Cd.upf
Fe 55.84 Fe.upf
CELL_PARAMETERS angstrom
6.915 0.000 0.000
0.000 3.034 0.000
0.000 0.000 10.379
ATOMIC_POSITIONS angstrom
Cd 0.955 0.758 2.371
Cd 1.130 0.758 9.724
Cd 2.328 2.275 4.535
Cd 2.502 2.275 7.560
Cd 4.413 0.758 2.819
Cd 4.587 0.758 5.844
Cd 5.785 2.275 0.655
Cd 5.960 2.275 8.008
Fe 0.477 0.758 5.996
Fe 2.980 2.275 0.806
Fe 3.935 0.758 9.573
Fe 6.438 2.275 4.383
```



No. 4
A plane-wave DFT calculation with PBE was carried out for Cd3Fe after structural relaxation. Values from VASP.

Calculated values
Magnetization = 2.43 μB/cell

```
&SYSTEM
  ibrav = 0, nat = 4, ntyp = 2
/
ATOMIC_SPECIES
Cd 112.41 Cd.upf
Fe 55.84 Fe.upf
CELL_PARAMETERS angstrom
5.129 -1.491 0.000
5.129 1.491 0.000
-1.389 0.000 4.960
ATOMIC_POSITIONS angstrom
Cd 0.000 0.000 0.000
Cd 1.372 0.000 3.636
Cd 7.496 0.000 1.324
Fe 4.434 0.000 2.480
```



No. 5
A plane-wave DFT calculation with PBE was carried out for Cd2Fe after structural relaxation. Values from VASP.

Calculated values
Magnetization = 4.86 μB/cell

```
&SYSTEM
  ibrav = 0, nat = 6, ntyp = 2
/
ATOMIC_SPECIES
Cd 112.41 Cd.upf
Fe 55.84 Fe.upf
CELL_PARAMETERS angstrom
-1.439 1.439 13.382
1.439 -1.439 13.382
1.439 1.439 -13.382
ATOMIC_POSITIONS angstrom
Cd 1.439 0.719 1.362
Cd 1.439 0.719 5.329
Cd 0.000 0.719 8.053
Cd 0.000 0.719 12.020
Fe 1.439 -0.719 10.037
Fe 0.000 2.158 3.346
```



No. 6
A plane-wave DFT calculation with PBE was carried out for CdFe7 after structural relaxation. Values from VASP.

Calculated values
Magnetization = 17.98 μB/cell

```
&SYSTEM
  ibrav = 0, nat = 8, ntyp = 2
/
ATOMIC_SPECIES
Cd 112.41 Cd.upf
Fe 55.84 Fe.upf
CELL_PARAMETERS angstrom
0.000 3.724 3.724
3.724 0.000 3.724
3.724 3.724 0.000
ATOMIC_POSITIONS angstrom
Cd 0.000 0.000 0.000
Fe 1.862 1.862 0.000
Fe 1.862 0.000 1.862
Fe 3.724 1.862 1.862
Fe 0.000 1.862 1.862
Fe 1.862 3.724 1.862
Fe 1.862 1.862 3.724
Fe 3.724 3.724 3.724
```



No. 7
A plane-wave DFT calculation with PBE was carried out for Cd3Fe after structural relaxation. Values from VASP.

Calculated values
Magnetization = 5.02 μB/cell

```
&SYSTEM
  ibrav = 0, nat = 8, ntyp = 2
/
ATOMIC_SPECIES
Cd 112.41 Cd.upf
Fe 55.84 Fe.upf
CELL_PARAMETERS angstrom
4.669 0.000 0.000
0.000 6.018 0.000
0.000 0.000 5.398
ATOMIC_POSITIONS angstrom
Cd 1.167 0.005 0.898
Cd 1.167 1.505 3.483
Cd 1.167 3.004 0.898
Cd 3.501 3.014 4.500
Cd 3.501 4.514 1.915
Cd 3.501 6.013 4.500
Fe 1.167 4.514 3.574
Fe 3.501 1.505 1.824
```



No. 8
A plane-wave DFT calculation with PBE was carried out for Cd5Fe4 after structural relaxation. Values from VASP.

Calculated values
Magnetization = 21.57 μB/cell
Offset from the most stable computed form = 124.3 meV per atom

```
&SYSTEM
  ibrav = 0, nat = 18, ntyp = 2
/
ATOMIC_SPECIES
Cd 112.41 Cd.upf
Fe 55.84 Fe.upf
CELL_PARAMETERS angstrom
8.156 0.000 0.000
-4.078 7.063 0.000
0.000 0.000 5.445
ATOMIC_POSITIONS angstrom
Cd -1.499 2.597 1.361
Cd -2.578 4.466 4.084
Cd 0.000 4.709 0.000
Cd 0.000 4.709 2.722
Cd 2.999 0.000 1.361
Cd 1.499 2.597 4.084
Cd 5.157 0.000 4.084
Cd 2.578 4.466 1.361
Cd 4.078 2.354 0.000
Cd 4.078 2.354 2.722
Fe 0.000 0.000 0.000
Fe 0.000 0.000 2.722
Fe -1.043 1.807 4.084
Fe -3.034 5.256 1.361
Fe 2.087 0.000 4.084
Fe 1.043 1.807 1.361
Fe 6.069 0.000 1.361
Fe 3.034 5.256 4.084
```



No. 9
A plane-wave DFT calculation with PBE was carried out for Cd2Fe after structural relaxation. Values from VASP.

Calculated values
Magnetization = 4.95 μB/cell

```
&SYSTEM
  ibrav = 0, nat = 6, ntyp = 2
/
ATOMIC_SPECIES
Cd 112.41 Cd.upf
Fe 55.84 Fe.upf
CELL_PARAMETERS angstrom
2.335 -7.659 0.000
2.335 7.659 0.000
0.000 0.000 3.078
ATOMIC_POSITIONS angstrom
Cd 2.335 6.357 2.308
Cd 2.335 3.265 0.769
Cd 2.335 -3.265 2.308
Cd 2.335 -6.357 0.769
Fe 2.335 0.885 2.308
Fe 2.335 -0.885 0.769
```



No. 10
A plane-wave DFT calculation with PBE was carried out for CdFe2 after structural relaxation. Values from VASP.

Calculated values
Magnetization = 21.48 μB/cell

```
&SYSTEM
  ibrav = 0, nat = 12, ntyp = 2
/
ATOMIC_SPECIES
Cd 112.41 Cd.upf
Fe 55.84 Fe.upf
CELL_PARAMETERS angstrom
6.081 0.000 0.000
0.000 6.081 0.000
0.000 0.000 6.081
ATOMIC_POSITIONS angstrom
Cd 0.000 0.000 0.000
Cd 0.000 3.041 3.041
Cd 3.041 0.000 3.041
Cd 3.041 3.041 0.000
Fe 0.647 3.688 5.434
Fe 0.647 5.434 2.393
Fe 2.393 0.647 5.434
Fe 2.393 2.393 2.393
Fe 3.688 3.688 3.688
Fe 3.688 5.434 0.647
Fe 5.434 0.647 3.688
Fe 5.434 2.393 0.647
```



No. 11
A plane-wave DFT calculation with PBE was carried out for CdFe2 after structural relaxation. Values from VASP.

Calculated values
Magnetization = 5.03 μB/cell

```
&SYSTEM
  ibrav = 0, nat = 3, ntyp = 2
/
ATOMIC_SPECIES
Cd 112.41 Cd.upf
Fe 55.84 Fe.upf
CELL_PARAMETERS angstrom
2.847 0.000 0.000
-1.424 2.466 0.000
0.000 0.000 6.438
ATOMIC_POSITIONS angstrom
Cd 0.000 0.000 0.000
Fe 0.000 1.644 2.359
Fe 1.424 0.822 4.078
```



No. 12
A plane-wave DFT calculation with PBE was carried out for Cd3Fe4 after structural relaxation. Values from VASP.

Calculated values
Magnetization = 11.32 μB/cell
Offset from the most stable computed form = 440.6 meV per atom

```
&SYSTEM
  ibrav = 0, nat = 7, ntyp = 2
/
ATOMIC_SPECIES
Cd 112.41 Cd.upf
Fe 55.84 Fe.upf
CELL_PARAMETERS angstrom
5.337 0.000 0.000
-2.669 4.622 0.000
0.000 0.000 4.764
ATOMIC_POSITIONS angstrom
Cd -1.334 2.311 0.000
Cd 2.669 0.000 0.000
Cd 1.334 2.311 0.000
Fe 0.000 0.000 1.265
Fe 0.000 0.000 3.499
Fe 0.000 3.082 2.382
Fe 2.669 1.541 2.382
```



No. 13
A plane-wave DFT calculation with PBE was carried out for Cd2Fe after structural relaxation. Values from VASP.

Calculated values
Magnetization = 2.72 μB/cell

```
&SYSTEM
  ibrav = 0, nat = 3, ntyp = 2
/
ATOMIC_SPECIES
Cd 112.41 Cd.upf
Fe 55.84 Fe.upf
CELL_PARAMETERS angstrom
2.949 0.000 0.000
-1.475 2.554 0.000
0.000 0.000 7.245
ATOMIC_POSITIONS angstrom
Cd 0.000 1.703 1.362
Cd 1.475 0.851 5.883
Fe 0.000 0.000 3.622
```



no.,N(E_F) (states/eV per atom),calculated density (g cm⁻³),formation energy (meV/atom)
1,0.9888,8.7,280
2,0.7212,8.0,631
3,0.5509,8.6,227
4,0.6460,8.6,273
5,0.6538,8.4,287
6,0.8144,8.1,254
7,0.9912,8.6,302
8,0.6845,8.3,380
9,0.5460,8.5,194
10,1.1524,6.6,1179
11,0.5993,8.2,332
12,0.7697,7.9,650
13,0.9392,8.5,311